Record 1
A plane-wave DFT calculation with PBE was carried out for Hf2Zr3 after structural relaxation.

Cell and atoms, written as POSCAR:
```
Hf2Zr3
1.0
5.369 -2.790 0.000
5.369 2.790 0.000
-2.952 0.000 7.672
Hf Zr
4 6
direct
0.065 0.735 0.550
0.265 0.935 0.950
0.735 0.065 0.050
0.935 0.265 0.450
0.136 0.467 0.850
0.330 0.670 0.250
0.467 0.136 0.350
0.533 0.864 0.650
0.670 0.330 0.750
0.864 0.533 0.150
```

The calculation puts the density at 9112 kg/m3. The formation energy comes out at 0.00 eV per atom. Its raw total energy is -91.1 eV for the cell shown. For the density of states at the Fermi level, the calculation gives 5.6 states/eV/cell.

Record 2
A plane-wave DFT calculation with PBE was carried out for Pm2Ga4CoCu3 after structural relaxation.

Cell and atoms, written as POSCAR:
```
Pm2Ga4CoCu3
1.0
4.166 0.000 0.000
0.000 4.166 0.000
0.000 0.000 10.178
Pm Ga Co Cu
2 4 1 3
direct
0.000 0.500 0.243
0.500 0.000 0.757
0.000 0.000 0.500
0.000 0.500 0.876
0.500 0.000 0.124
0.500 0.500 0.500
0.500 0.500 0.000
0.000 0.000 0.000
0.000 0.500 0.635
0.500 0.000 0.365
```

The calculation puts the density at 7695 kg/m3. The formation energy comes out at -0.42 eV per atom. Its raw total energy is -45.2 eV for the cell shown. For the density of states at the Fermi level, the calculation gives 6.0 states/eV/cell.

Record 3
A plane-wave DFT calculation with PBE was carried out for NbFeGeH after structural relaxation.

Cell and atoms, written as POSCAR:
```
NbFeGeH
1.0
2.614 -1.511 0.000
2.614 1.511 0.000
-1.753 0.000 6.292
Nb Fe Ge H
1 1 1 1
direct
0.000 0.000 0.000
0.207 0.207 0.615
0.783 0.783 0.345
0.291 0.291 0.875
```

The calculation puts the density at 7428 kg/m3. Its raw total energy is -26.6 eV for the cell shown. For the density of states at the Fermi level, the calculation gives 1.7 states/eV/cell.

Record 4
A plane-wave DFT calculation with PBE was carried out for LaSc3Ir after structural relaxation.

Cell and atoms, written as POSCAR:
```
LaSc3Ir
1.0
4.979 0.000 0.000
0.000 4.979 0.000
0.000 0.000 4.979
La Sc Ir
1 3 1
direct
0.000 0.000 0.000
0.000 0.000 0.500
0.000 0.500 0.000
0.500 0.000 0.000
0.500 0.500 0.500
```

The calculation puts the density at 6268 kg/m3. The formation energy comes out at 1.27 eV per atom. Its raw total energy is -26.4 eV for the cell shown. For the density of states at the Fermi level, the calculation gives 4.1 states/eV/cell.

Record 5
A plane-wave DFT calculation with PBE was carried out for CuCl3 after structural relaxation.

Cell and atoms, written as POSCAR:
```
CuCl3
1.0
0.000 3.388 3.388
3.388 0.000 3.388
3.388 3.388 0.000
Cu Cl
1 3
direct
0.000 0.000 0.000
0.250 0.250 0.250
0.500 0.500 0.500
0.750 0.750 0.750
```

The formation energy without anion corrections is 194.5 kJ/mol of formula units. The calculation puts the density at 3627 kg/m3. Its raw total energy is -7.6 eV for the cell shown. For the density of states at the Fermi level, the calculation gives 2.2 states/eV/cell.

Record 6
A plane-wave DFT calculation with PBE was carried out for LaDy2Sc3 after structural relaxation.

Cell and atoms, written as POSCAR:
```
LaDy2Sc3
1.0
2.969 -5.145 0.000
2.969 5.145 0.000
-1.980 0.000 11.200
La Dy Sc
2 4 6
direct
0.081 0.919 0.750
0.919 0.081 0.250
0.000 0.500 0.500
0.250 0.750 0.250
0.500 0.000 0.000
0.750 0.250 0.750
0.174 0.339 0.001
0.339 0.174 0.501
0.419 0.581 0.750
0.581 0.419 0.250
0.661 0.826 0.499
0.826 0.661 0.999
```

The calculation puts the density at 5811 kg/m3. The formation energy comes out at 0.06 eV per atom. Its raw total energy is -65.5 eV for the cell shown. For the density of states at the Fermi level, the calculation gives 17.6 states/eV/cell.